No. 1
A plane-wave DFT calculation with GGA-PBE was carried out for TbHgPb3 after structural relaxation.

Values from the calculation:
formation energy	-43	kJ/mol of formula units
VASP energy	-3.30	eV/atom
E above lowest polymorph	0	meV per atom

Lattice parameters (Å, degrees): 4.446 6.645 10.814 90.00 90.00 90.00
Fractional coordinates of all 10 atoms:
Pb 0.000 0.000 0.884
Pb 0.500 0.250 0.725
Pb 0.500 0.500 0.116
Pb 0.500 0.750 0.725
Pb 0.000 0.750 0.275
Pb 0.000 0.250 0.275
Hg 0.000 0.000 0.537
Hg 0.500 0.500 0.463
Tb 0.000 0.500 0.915
Tb 0.500 0.000 0.085



No. 2
A plane-wave DFT calculation with GGA-PBE was carried out for Y4AlGa3 after structural relaxation.

Values from the calculation:
formation energy	-471	kJ/mol of formula units
VASP energy	-5.44	eV/atom

Lattice parameters (Å, degrees): 4.381 4.066 10.980 90.00 90.00 90.00
Fractional coordinates of all 8 atoms:
Ga 0.000 0.000 0.425
Ga 0.500 0.000 0.922
Ga 0.000 0.500 0.577
Al 0.500 0.500 0.072
Y 0.000 0.000 0.142
Y 0.500 0.500 0.363
Y 0.500 0.000 0.639
Y 0.000 0.500 0.859



No. 3
A plane-wave DFT calculation with GGA-PBE was carried out for NdLuGa2 after structural relaxation.

Values from the calculation:
formation energy	-218	kJ/mol of formula units
VASP energy	-4.40	eV/atom
E above lowest polymorph	0	meV per atom

Lattice parameters (Å, degrees): 3.599 3.599 7.182 90.00 90.00 90.00
Fractional coordinates of all 4 atoms:
Ga 0.000 0.000 0.228
Ga 0.000 0.000 0.772
Nd 0.500 0.500 0.500
Lu 0.500 0.500 0.000



No. 4
A plane-wave DFT calculation with GGA-PBE was carried out for Cd6Ag3Au2 after structural relaxation.

Values from the calculation:
formation energy	37	kJ/mol of formula units
VASP energy	-1.84	eV/atom

Lattice parameters (Å, degrees): 4.095 4.095 14.842 97.93 97.93 90.00
Fractional coordinates of all 11 atoms:
Cd 0.733 0.733 0.467
Cd 0.571 0.071 0.142
Cd 0.929 0.429 0.858
Cd 0.071 0.571 0.142
Cd 0.267 0.267 0.533
Cd 0.429 0.929 0.858
Au 0.360 0.360 0.720
Au 0.640 0.640 0.280
Ag 0.167 0.167 0.335
Ag 0.833 0.833 0.665
Ag 0.000 0.000 0.000